Record 1
Computed, not measured: a relaxed Y2SbCl crystal at the GGA-PBE level of DFT. Values from VASP.

Results
The calculation puts the spin magnetization at 0.9 μB per formula unit. The value obtained for the volume is 109.6 Å³ per cell. The calculation puts the energy relative to the lowest polymorph listed for this composition at 41 meV/atom. The symmetry is P2/m, No. 10. The formation energy without anion corrections comes out at -4.472 eV per formula unit.

Structure (Quantum ESPRESSO input):
```
&SYSTEM
  ibrav = 0, nat = 4, ntyp = 3
/
ATOMIC_SPECIES
Cl 35.45 Cl.upf
Sb 121.76 Sb.upf
Y 88.91 Y.upf
ATOMIC_POSITIONS crystal
Cl 0.500 0.250 0.250
Sb 0.500 0.750 0.750
Y 0.000 0.249 0.984
Y 0.000 0.251 0.516
CELL_PARAMETERS angstrom
3.931 0.000 0.000
0.000 3.880 -0.048
0.000 0.100 7.184
```



Record 2
Computed, not measured: a relaxed DyThHg3 crystal at the GGA-PBE level of DFT. Values from VASP.

Results
The calculation puts the spin magnetization at 0.0 μB per formula unit. The value obtained for the volume is 273.8 Å³ per cell. The calculation puts the energy relative to the lowest polymorph listed for this composition at 154 meV/atom. For the formation energy, the calculation gives -0.168 eV/atom. The symmetry is Imma, No. 74.

Structure (Quantum ESPRESSO input):
```
&SYSTEM
  ibrav = 0, nat = 10, ntyp = 3
/
ATOMIC_SPECIES
Dy 162.50 Dy.upf
Th 232.04 Th.upf
Hg 200.59 Hg.upf
ATOMIC_POSITIONS crystal
Dy 0.396 0.146 0.291
Dy 0.604 0.854 0.709
Th 0.191 0.441 0.881
Th 0.809 0.559 0.119
Hg 0.797 0.046 0.093
Hg 0.203 0.954 0.907
Hg 0.406 0.656 0.312
Hg 0.594 0.344 0.688
Hg 0.009 0.759 0.517
Hg 0.991 0.241 0.483
CELL_PARAMETERS angstrom
5.400 0.000 -0.001
0.000 6.386 0.000
-2.698 -3.193 7.941
```



Record 3
Computed, not measured: a relaxed PaTe6O12 crystal at the GGA-PBE level of DFT. Values from VASP.

Results
The calculation puts the spin magnetization at 0.0 μB per formula unit. The value obtained for the volume is 474.2 Å³ per cell. The symmetry is R-3, No. 148. The formation energy without anion corrections comes out at -21.984 eV per formula unit.

Structure (Quantum ESPRESSO input):
```
&SYSTEM
  ibrav = 0, nat = 19, ntyp = 3
/
ATOMIC_SPECIES
Pa 231.04 Pa.upf
Te 127.60 Te.upf
O 16.00 O.upf
ATOMIC_POSITIONS crystal
Pa 0.000 0.000 0.000
Te 0.387 0.192 0.672
Te 0.808 0.328 0.613
Te 0.328 0.613 0.808
Te 0.613 0.808 0.328
Te 0.192 0.672 0.387
Te 0.672 0.387 0.192
O 0.647 0.252 0.419
O 0.252 0.419 0.647
O 0.419 0.647 0.252
O 0.353 0.748 0.581
O 0.748 0.581 0.353
O 0.581 0.353 0.748
O 0.120 0.764 0.893
O 0.107 0.880 0.236
O 0.236 0.107 0.880
O 0.880 0.236 0.107
O 0.893 0.120 0.764
O 0.764 0.893 0.120
CELL_PARAMETERS angstrom
-2.110 -4.283 6.334
7.079 -2.409 2.645
1.292 5.192 5.856
```



Record 4
Computed, not measured: a relaxed ScFe2C2 crystal at the GGA-PBE level of DFT. Values from VASP.

Results
The calculation puts the spin magnetization at 0.0 μB per formula unit. The value obtained for the volume is 105.2 Å³ per cell. The calculation puts the energy relative to the lowest polymorph listed for this composition at 0 meV/atom. For the formation energy, the calculation gives -0.272 eV/atom. The symmetry is Fddd, No. 70.

Structure (Quantum ESPRESSO input):
```
&SYSTEM
  ibrav = 0, nat = 10, ntyp = 3
/
ATOMIC_SPECIES
Sc 44.96 Sc.upf
Fe 55.84 Fe.upf
C 12.01 C.upf
ATOMIC_POSITIONS crystal
Sc 0.875 0.625 0.750
Sc 0.125 0.375 0.250
Fe 0.238 0.988 0.476
Fe 0.488 0.738 0.976
Fe 0.762 0.012 0.524
Fe 0.512 0.262 0.024
C 0.179 0.321 0.750
C 0.429 0.071 0.250
C 0.571 0.929 0.750
C 0.821 0.679 0.250
CELL_PARAMETERS angstrom
4.770 0.129 -1.605
-2.161 4.255 -1.605
-0.125 -0.211 5.268
```



Record 5
Computed, not measured: a relaxed LiGeN2 crystal at the GGA-PBE level of DFT. Values from VASP.

Results
The calculation puts the spin magnetization at 0.9 μB per formula unit. The value obtained for the volume is 75.4 Å³ per cell. The symmetry is I4_1/amd, No. 141. The formation energy without anion corrections comes out at 0.784 eV per formula unit.

Structure (Quantum ESPRESSO input):
```
&SYSTEM
  ibrav = 0, nat = 8, ntyp = 3
/
ATOMIC_SPECIES
Li 6.94 Li.upf
Ge 72.64 Ge.upf
N 14.01 N.upf
ATOMIC_POSITIONS crystal
Li 0.125 0.375 0.750
Li 0.875 0.625 0.250
Ge 0.625 0.875 0.750
Ge 0.375 0.125 0.250
N 0.154 0.904 0.692
N 0.846 0.096 0.308
N 0.596 0.346 0.808
N 0.404 0.654 0.192
CELL_PARAMETERS angstrom
4.145 -0.019 0.142
0.014 4.145 0.142
1.928 1.913 4.523
```



Record 6
Computed, not measured: a relaxed AlAsOs2 crystal at the GGA-PBE level of DFT. Values from VASP.

Results
The calculation puts the spin magnetization at 0.0 μB per formula unit. The value obtained for the volume is 58.2 Å³ per cell. The calculation puts the energy relative to the lowest polymorph listed for this composition at 127 meV/atom. For the formation energy, the calculation gives 0.085 eV/atom. The symmetry is Pmm2, No. 25.

Structure (Quantum ESPRESSO input):
```
&SYSTEM
  ibrav = 0, nat = 4, ntyp = 3
/
ATOMIC_SPECIES
As 74.92 As.upf
Os 190.23 Os.upf
Al 26.98 Al.upf
ATOMIC_POSITIONS crystal
As 0.500 0.500 0.779
Os 0.000 0.000 0.970
Os 0.500 0.500 0.281
Al 0.000 0.000 0.470
CELL_PARAMETERS angstrom
2.845 0.000 0.000
0.000 3.913 0.000
0.000 0.000 5.231
```



Record 7
Computed, not measured: a relaxed HfTiSbTe2 crystal at the GGA-PBE level of DFT. Values from VASP.

Results
The calculation puts the spin magnetization at 2.1 μB per formula unit. The value obtained for the volume is 167.2 Å³ per cell. The calculation puts the energy relative to the lowest polymorph listed for this composition at 0 meV/atom. The symmetry is P4/mmm, No. 123. The formation energy without anion corrections comes out at 1.869 eV per formula unit.

Structure (Quantum ESPRESSO input):
```
&SYSTEM
  ibrav = 0, nat = 5, ntyp = 4
/
ATOMIC_SPECIES
Sb 121.76 Sb.upf
Te 127.60 Te.upf
Hf 178.49 Hf.upf
Ti 47.87 Ti.upf
ATOMIC_POSITIONS crystal
Sb 0.000 0.000 0.500
Te 0.000 0.500 0.000
Te 0.500 0.000 0.000
Hf 0.000 0.000 0.000
Ti 0.500 0.500 0.500
CELL_PARAMETERS angstrom
-4.859 -0.933 -2.410
2.571 -1.230 -4.707
0.260 -5.298 1.527
```



Record 8
Computed, not measured: a relaxed CaP2Br crystal at the GGA-PBE level of DFT. Values from VASP.

Results
The calculation puts the spin magnetization at 0.0 μB per formula unit. The value obtained for the volume is 85.6 Å³ per cell. The calculation puts the energy relative to the lowest polymorph listed for this composition at 946 meV/atom. The symmetry is P4/mmm, No. 123. The formation energy without anion corrections comes out at 0.453 eV per formula unit.

Structure (Quantum ESPRESSO input):
```
&SYSTEM
  ibrav = 0, nat = 4, ntyp = 3
/
ATOMIC_SPECIES
Br 79.90 Br.upf
Ca 40.08 Ca.upf
P 30.97 P.upf
ATOMIC_POSITIONS crystal
Br 0.500 0.000 0.500
Ca 0.000 0.500 0.500
P 0.000 0.000 0.000
P 0.500 0.500 0.000
CELL_PARAMETERS angstrom
-4.302 0.403 2.762
-0.705 -5.067 -0.359
1.714 -0.432 2.732
```